Entry from Alexandria: a relaxed structure of Ho3TiRu4 (PBE).

Properties
Crystal system: tetragonal
Total magnetization in μB per formula unit: 0.00
Volume in Å³ per atom: 18.1
E_form in meV per atom: -416
D(E_F) in states/eV/f.u.: 5.97

Cell and atoms, written as POSCAR:
```
Ho3TiRu4
1.0
-3.172 -0.309 -0.803
-0.425 -2.105 2.488
-3.050 10.208 8.117
Ho Ru Ti
3 4 1
direct
0.500 0.500 0.757
0.500 0.500 0.500
0.500 0.500 0.243
0.000 0.000 0.370
0.000 0.000 0.108
0.000 0.000 0.630
0.000 0.000 0.892
0.500 0.500 0.000
```